Below is an optimized crystal structure of SrMg2Al2, with properties calculated at the PBE level.

Results
- Energy of formation from the pure elements: -0.03 eV/atom

The structure in CIF format:
```
data_SrMg2Al2
_symmetry_space_group_name_H-M 'P 4/m b m'
_symmetry_Int_Tables_number 127
_symmetry_space_group_name_Hall '-P 4 2ab'
_cell_length_a 8.6300
_cell_length_b 8.6300
_cell_length_c 3.1259
_cell_angle_alpha 90.00
_cell_angle_beta 90.00
_cell_angle_gamma 90.00
loop_
_atom_site_label
_atom_site_fract_x
_atom_site_fract_y
_atom_site_fract_z
_atom_site_occupancy
Sr1 0.0000 0.0000 0.0000 1
Mg1 0.1246 0.3754 0.0000 1
Al1 0.1700 0.6700 0.5000 1
```